Ca2ScSe: relaxed, GGA-PBE.

a = 3.6147 Å, b = 3.6147 Å, c = 9.4662 Å
α = 90.00°, β = 90.00°, γ = 106.59°
With the nearest neighbours (Å) after each atom.
Positions (direct):
1 Ca 0.0000 0.0000 0.9394  2 Se 2.94
2 Ca 0.5000 0.5000 0.2737  2 Sc 3.45, 6 Ca 3.61-3.83
3 Se 0.5000 0.5000 0.7294  2 Sc 2.70, 2 Ca 2.94
4 Sc 0.0000 0.0000 0.5575  2 Se 2.70

## Properties
The calculation puts the total magnetization at 0.0 μB per formula unit. For the formation energy without anion corrections, the calculation gives -0.646 eV per atom. As for the final energy: -16.4 eV per formula unit.


CaScSe2: relaxed, GGA-PBE.

a = 3.9922 Å, b = 3.9922 Å, c = 7.0627 Å
α = 73.63°, β = 73.63°, γ = 60.04°
With the nearest neighbours (Å) after each atom.
Positions (direct):
1 Sc 0.7500 0.7500 0.7500  6 Se 2.78
2 Se 0.0059 0.0059 0.9821  3 Sc 2.78, 3 Ca 2.92
3 Se 0.4941 0.4941 0.5179  3 Sc 2.78, 3 Ca 2.92
4 Ca 0.2500 0.2500 0.2500  6 Se 2.92

## Properties
The calculation puts the total magnetization at 0.0 μB per formula unit. For the formation energy without anion corrections, the calculation gives -1.781 eV per atom. As for the final energy: -22.4 eV per formula unit.


Ca4Sm3ScSe8: relaxed, GGA-PBE.

a = 8.2422 Å, b = 8.3600 Å, c = 8.2422 Å
α = 119.54°, β = 120.00°, γ = 90.00°
With the nearest neighbours (Å) after each atom.
Positions (direct):
1 Sm 0.5000 0.5000 0.0000  6 Se 2.95
2 Sm 0.5000 0.5000 0.5000  6 Se 2.95
3 Sm 0.0000 0.5000 0.5000  6 Se 2.95
4 Se 0.7566 0.2543 0.5132  1 Sc 2.86, 3 Ca 2.92-3.01, 2 Sm 2.95
5 Se 0.2433 0.7456 0.0023  1 Sc 2.86, 3 Ca 2.92-3.01, 2 Sm 2.95
6 Se 0.7512 0.7535 0.5023  3 Ca 2.92, 3 Sm 2.95
7 Se 0.7590 0.7456 0.0023  1 Sc 2.86, 3 Ca 2.92-3.01, 2 Sm 2.95
8 Se 0.2434 0.7457 0.4868  1 Sc 2.86, 3 Ca 2.92-3.01, 2 Sm 2.95
9 Se 0.2410 0.2544 0.9977  1 Sc 2.86, 3 Ca 2.92-3.01, 2 Sm 2.95
10 Se 0.2488 0.2465 0.4977  3 Ca 2.92, 3 Sm 2.95
11 Se 0.7567 0.2544 0.9977  1 Sc 2.86, 3 Ca 2.92-3.01, 2 Sm 2.95
12 Ca 0.5000 0.0000 0.5000  6 Se 2.92
13 Ca 0.5000 0.0000 0.0000  6 Se 3.01
14 Ca 0.0000 0.0000 0.5000  6 Se 2.92
15 Ca 0.0000 0.0000 0.0000  6 Se 2.92
16 Sc 0.0000 0.5000 0.0000  6 Se 2.86

## Properties
The calculation puts the total magnetization at 0.0 μB per formula unit. For the formation energy without anion corrections, the calculation gives -1.860 eV per atom. As for the final energy: -86.1 eV per formula unit.


Ca3Sm3ScSe8: relaxed, GGA-PBE.

a = 8.2608 Å, b = 8.2596 Å, c = 8.3707 Å
α = 119.57°, β = 90.00°, γ = 120.00°
With the nearest neighbours (Å) after each atom.
Positions (direct):
1 Ca 0.5000 0.5000 0.0000  6 Se 2.93-2.95
2 Ca 0.0000 0.0000 0.0000  6 Se 2.93-2.95
3 Ca 0.0000 0.5000 0.0000  6 Se 2.93-2.95
4 Se 0.2376 0.4753 0.7368  1 Sc 2.79, 2 Sm 2.94, 2 Ca 2.95
5 Se 0.2375 0.9992 0.7367  1 Sc 2.79, 2 Sm 2.94, 2 Ca 2.95
6 Se 0.2383 0.0008 0.2633  1 Sc 2.79, 2 Sm 2.94, 2 Ca 2.95
7 Se 0.7624 0.5247 0.2632  1 Sc 2.79, 2 Sm 2.94, 2 Ca 2.95
8 Se 0.7625 0.0008 0.2633  1 Sc 2.79, 2 Sm 2.94, 2 Ca 2.95
9 Se 0.7508 0.5017 0.7525  3 Ca 2.93, 3 Sm 2.95
10 Se 0.7617 0.9992 0.7367  1 Sc 2.79, 2 Sm 2.94, 2 Ca 2.95
11 Se 0.2492 0.4983 0.2475  3 Ca 2.93, 3 Sm 2.95
12 Sm 0.5000 0.5000 0.5000  6 Se 2.94-2.95
13 Sm 0.5000 0.0000 0.5000  6 Se 2.94-2.95
14 Sm 0.0000 0.5000 0.5000  6 Se 2.94-2.95
15 Sc 0.0000 0.0000 0.5000  6 Se 2.79

## Properties
The calculation puts the total magnetization at 0.0 μB per formula unit. For the formation energy without anion corrections, the calculation gives -1.897 eV per atom. As for the final energy: -82.8 eV per formula unit.


Ca2SmScSe4: relaxed, GGA-PBE.

a = 4.0861 Å, b = 7.0715 Å, c = 7.2051 Å
α = 109.13°, β = 90.00°, γ = 90.00°
With the nearest neighbours (Å) after each atom.
Positions (direct):
1 Ca 0.0000 0.5000 0.5000  6 Se 2.98
2 Ca 0.5000 0.0000 0.5000  6 Se 2.89-2.90
3 Se 0.5000 0.2357 0.2384  2 Sc 2.83, 3 Ca 2.90-2.98, 1 Sm 2.92
4 Se 0.5000 0.7643 0.7616  2 Sc 2.83, 3 Ca 2.90-2.98, 1 Sm 2.92
5 Se 0.0000 0.7596 0.2464  1 Sc 2.83, 3 Ca 2.89-2.98, 2 Sm 2.93
6 Se 0.0000 0.2404 0.7536  1 Sc 2.83, 3 Ca 2.89-2.98, 2 Sm 2.93
7 Sc 0.0000 0.0000 0.0000  6 Se 2.83
8 Sm 0.5000 0.5000 0.0000  6 Se 2.92-2.93

## Properties
The calculation puts the total magnetization at 0.0 μB per formula unit. For the formation energy without anion corrections, the calculation gives -1.825 eV per atom. As for the final energy: -43.6 eV per formula unit.


CaSmSc4Se8: relaxed, GGA-PBE.

a = 8.0998 Å, b = 8.0998 Å, c = 8.2705 Å
α = 60.68°, β = 60.68°, γ = 60.00°
With the nearest neighbours (Å) after each atom.
Positions (direct):
1 Se 0.7830 0.2490 0.7189  2 Sc 2.69, 1 Ca 2.76, 1 Sm 2.88
2 Se 0.7473 0.7473 0.2705  3 Sc 2.61-2.81
3 Se 0.2490 0.2490 0.7189  2 Sc 2.69, 1 Ca 2.76, 1 Sm 2.88
4 Se 0.2349 0.7473 0.2705  3 Sc 2.61-2.81
5 Se 0.2350 0.2350 0.2949  3 Sc 2.71, 1 Ca 2.76
6 Se 0.7473 0.2349 0.2705  3 Sc 2.61-2.81
7 Se 0.7579 0.7579 0.7262  4 Sc 2.68-2.82
8 Se 0.2490 0.7830 0.7189  2 Sc 2.69, 1 Ca 2.76, 1 Sm 2.88
9 Sc 0.0012 0.0012 0.5023  6 Se 2.69-2.82
10 Sc 0.0012 0.4953 0.5023  6 Se 2.69-2.82
11 Sc 0.6271 0.6271 0.1187  4 Se 2.61-2.68
12 Sc 0.4953 0.0012 0.5023  6 Se 2.69-2.82
13 Ca 0.3701 0.3701 0.8896  4 Se 2.76
14 Sm 0.0016 0.0016 0.9952  6 Se 2.88-2.95

## Properties
The calculation puts the total magnetization at 0.0 μB per formula unit. For the formation energy without anion corrections, the calculation gives -1.670 eV per atom. As for the final energy: -83.3 eV per formula unit.


SrCa2ScSe4: relaxed, GGA-PBE.

a = 4.1626 Å, b = 7.2701 Å, c = 7.2286 Å
α = 109.22°, β = 90.00°, γ = 90.00°
With the nearest neighbours (Å) after each atom.
Positions (direct):
1 Sc 0.0000 0.0000 0.0000  6 Se 2.85-2.87
2 Se 0.5000 0.2310 0.2400  2 Sc 2.87, 3 Ca 2.90-3.04, 1 Sr 3.01
3 Se 0.0000 0.2320 0.7493  1 Sc 2.85, 3 Ca 2.90-3.06, 2 Sr 3.01
4 Se 0.5000 0.7690 0.7600  2 Sc 2.87, 3 Ca 2.90-3.04, 1 Sr 3.01
5 Se 0.0000 0.7680 0.2507  1 Sc 2.85, 3 Ca 2.90-3.06, 2 Sr 3.01
6 Sr 0.5000 0.5000 0.0000  6 Se 3.01
7 Ca 0.0000 0.5000 0.5000  6 Se 3.04-3.06
8 Ca 0.5000 0.0000 0.5000  6 Se 2.90

## Properties
The calculation puts the total magnetization at 0.0 μB per formula unit. For the formation energy without anion corrections, the calculation gives -1.861 eV per atom. As for the final energy: -40.8 eV per formula unit.


Ca4Tb3ScSe8: relaxed, GGA-PBE.

a = 8.1781 Å, b = 8.2906 Å, c = 8.1787 Å
α = 119.56°, β = 120.00°, γ = 90.00°
With the nearest neighbours (Å) after each atom.
Positions (direct):
1 Ca 0.5000 0.0000 0.0000  6 Se 2.98-2.99
2 Ca 0.0000 0.0000 0.5000  6 Se 2.92
3 Ca 0.5000 0.0000 0.5000  6 Se 2.92
4 Ca 0.0000 0.0000 0.0000  6 Se 2.92
5 Se 0.2441 0.7425 0.4882  1 Sc 2.84, 2 Tb 2.90, 3 Ca 2.92-2.98
6 Se 0.7559 0.2575 0.5118  1 Sc 2.84, 2 Tb 2.90, 3 Ca 2.92-2.98
7 Se 0.2451 0.2583 0.0016  1 Sc 2.83, 2 Tb 2.90, 3 Ca 2.92-2.99
8 Se 0.7549 0.7417 0.9984  1 Sc 2.83, 2 Tb 2.90, 3 Ca 2.92-2.99
9 Se 0.2507 0.2526 0.5014  3 Tb 2.90, 3 Ca 2.92
10 Se 0.2435 0.7417 0.9984  1 Sc 2.83, 2 Tb 2.90, 3 Ca 2.92-2.99
11 Se 0.7493 0.7474 0.4986  3 Tb 2.90, 3 Ca 2.92
12 Se 0.7565 0.2583 0.0016  1 Sc 2.83, 2 Tb 2.90, 3 Ca 2.92-2.99
13 Tb 0.5000 0.5000 0.0000  6 Se 2.90
14 Tb 0.5000 0.5000 0.5000  6 Se 2.90
15 Tb 0.0000 0.5000 0.5000  6 Se 2.90
16 Sc 0.0000 0.5000 0.0000  6 Se 2.83-2.84

## Properties
The calculation puts the total magnetization at 0.0 μB per formula unit. For the formation energy without anion corrections, the calculation gives -1.854 eV per atom. As for the final energy: -85.8 eV per formula unit.


- Look up the final energy of the first one.
  -16.4 eV per formula unit